Entry 1:
## InMoP2S (GGA-PBE)

Data for an optimized crystal structure of InMoP2S.

Unit cell a=4.750 b=4.750 c=4.789 alpha=90.00 beta=90.00 gamma=90.00
Positions (direct):
In (0.000, 0.000, 0.000)
Mo (0.500, 0.500, 0.500)
P (0.000, 0.500, 0.500)
P (0.500, 0.000, 0.500)
S (0.500, 0.500, 0.000)

The excess energy over the best structure of this formula in the dataset is 0.000 eV per atom. Its symmetry is P4/mmm, No. 123. Its density of states at the Fermi level is 1.020 states/eV per atom.

***

Entry 2:
## NdPtAu4 (GGA-PBE)

Data for an optimized crystal structure of NdPtAu4.

Unit cell a=5.533 b=5.533 c=5.533 alpha=60.00 beta=60.00 gamma=60.00
Positions (direct):
Nd (0.000, 0.000, 0.000)
Pt (0.750, 0.750, 0.750)
Au (0.375, 0.375, 0.375)
Au (0.375, 0.375, 0.874)
Au (0.375, 0.874, 0.375)
Au (0.874, 0.375, 0.375)

Its symmetry is F-43m, No. 216. For the formation energy, the calculation gives -2.513 eV per formula unit. Its density of states at the Fermi level is 0.488 states/eV per atom.

***

Entry 3:
## PrGd2C (GGA-PBE)

Data for an optimized crystal structure of PrGd2C.

Unit cell a=3.580 b=3.580 c=29.842 alpha=90.00 beta=90.00 gamma=120.00
Positions (direct):
Pr (0.000, 0.000, 0.000)
Pr (0.333, 0.667, 0.667)
Pr (0.667, 0.333, 0.333)
Gd (0.000, 0.000, 0.121)
Gd (0.000, 0.000, 0.879)
Gd (0.333, 0.667, 0.546)
Gd (0.333, 0.667, 0.787)
Gd (0.667, 0.333, 0.213)
Gd (0.667, 0.333, 0.454)
C (0.000, 0.000, 0.500)
C (0.333, 0.667, 0.167)
C (0.667, 0.333, 0.833)

Its symmetry is R-3m, No. 166. For the formation energy, the calculation gives -0.355 eV per formula unit. Its density of states at the Fermi level is 0.840 states/eV per atom.

***

Entry 4:
## TbAl2Te4 (GGA-PBE)

Data for an optimized crystal structure of TbAl2Te4.

Unit cell a=8.226 b=8.226 c=6.919 alpha=90.00 beta=90.00 gamma=90.00
Positions (direct):
Tb (0.000, 0.000, 0.000)
Tb (0.500, 0.500, 0.500)
Al (0.000, 0.500, 0.250)
Al (0.000, 0.500, 0.750)
Al (0.500, 0.000, 0.250)
Al (0.500, 0.000, 0.750)
Te (0.168, 0.315, 0.500)
Te (0.185, 0.668, 0.000)
Te (0.315, 0.832, 0.500)
Te (0.332, 0.185, 0.000)
Te (0.668, 0.815, 0.000)
Te (0.685, 0.168, 0.500)
Te (0.815, 0.332, 0.000)
Te (0.832, 0.685, 0.500)

The final energy is -28.2 eV per formula unit. Its symmetry is I4/m, No. 87. Its density of states at the Fermi level is 0.627 states/eV per atom.